# CuOsRu2 | the Alexandria database | GGA-PBE | optimized geometry
# E: -8.060 eV per atom
# Formation energy from the elements: 0.41 eV/atom
# D(E_F): 9.566 states/eV/cell
data_CuOsRu2
_cell_length_a 2.842
_cell_length_b 4.382
_cell_length_c 8.818
_cell_angle_alpha 90.00
_cell_angle_beta 90.00
_cell_angle_gamma 90.00
_space_group_name_H-M_alt 'P 1'
_space_group_IT_number 1
_space_group_name_Hall 'P 1'
loop_
_atom_site_label
_atom_site_type_symbol
_atom_site_fract_x
_atom_site_fract_y
_atom_site_fract_z
Cu1 Cu 0.000 0.000 0.000
Cu2 Cu 0.500 0.500 0.500
Os1 Os 0.000 0.500 0.736
Os2 Os 0.500 0.000 0.236
Ru1 Ru 0.000 0.000 0.495
Ru2 Ru 0.000 0.500 0.263
Ru3 Ru 0.500 0.000 0.763
Ru4 Ru 0.500 0.500 0.995